The following is a DFT calculation (PBE+U) of a relaxed MnZnO3 crystal.

```
data_MnZnO3
_cell_length_a 4.925
_cell_length_b 9.137
_cell_length_c 4.998
_cell_angle_alpha 90.00
_cell_angle_beta 105.52
_cell_angle_gamma 90.00
_space_group_name_H-M_alt 'C 1 2/m 1'
_space_group_IT_number 12
loop_
_space_group_symop_operation_xyz
'x,y,z'
'-x,-y,-z'
'-x,y,-z'
'x,-y,z'
'x+1/2,y+1/2,z'
'-x+1/2,-y+1/2,-z'
'-x+1/2,y+1/2,-z'
'x+1/2,-y+1/2,z'
loop_
_atom_site_label
_atom_site_type_symbol
_atom_site_fract_x
_atom_site_fract_y
_atom_site_fract_z
_atom_site_occupancy
Mn1 Mn 0.000 0.159 0.000 1
Zn1 Zn 0.000 0.354 0.500 1
O1 O 0.211 0.000 0.224 1
O2 O 0.244 0.303 0.230 1
```

- total magnetic moment (μB/cell) = 12.00
- final energy (eV per atom) = -6.028
- volume (Å³ per atom) = 10.8